[1]
A plane-wave DFT calculation with PBE-GGA was carried out for an optimized crystal structure of Li3PaRh2S6.

Unit cell a=6.169 b=6.169 c=6.578 alpha=98.94 beta=98.94 gamma=119.90
Each line ends with the local moment (μB).
Element x y z (fractional)
Li1 0.167 0.833 0.500  0.01
Li2 0.833 0.167 0.500  0.01
Li3 0.500 0.500 0.500  0.01
Pa1 0.000 0.000 0.000  0.24
Rh1 0.333 0.667 0.000  0.19
Rh2 0.667 0.333 0.000  0.19
S1 0.922 0.561 0.766  0.01
S2 0.717 0.717 0.236  0.01
S3 0.078 0.439 0.234  0.01
S4 0.561 0.922 0.766  0.01
S5 0.283 0.283 0.764  0.01
S6 0.439 0.078 0.234  0.01

Results
Uncorrected energy: -5.632 eV per atom

---

[2]
A plane-wave DFT calculation with PBE-GGA was carried out for an optimized crystal structure of Li3Pa2RhS6.

Unit cell a=3.794 b=7.086 c=11.325 alpha=131.01 beta=99.64 gamma=90.00
Each line ends with the local moment (μB).
Element x y z (fractional)
Li1 0.500 0.500 0.000  0.00
Li2 0.818 0.249 0.636  0.00
Li3 0.182 0.751 0.364  0.00
Pa1 0.864 0.828 0.728  0.68
Pa2 0.136 0.172 0.272  0.68
Rh1 0.500 0.000 0.000  0.19
S1 0.352 0.084 0.703  -0.01
S2 0.699 0.542 0.397  -0.02
S3 0.648 0.916 0.297  -0.01
S4 0.028 0.269 0.056  0.01
S5 0.972 0.731 0.944  0.01
S6 0.301 0.458 0.603  -0.02

Results
Uncorrected energy: -6.100 eV per atom

---

[3]
A plane-wave DFT calculation with PBE-GGA was carried out for an optimized crystal structure of Li3Pa2RhSe6.

Unit cell a=3.934 b=7.431 c=11.810 alpha=131.06 beta=99.59 gamma=90.00
Each line ends with the local moment (μB).
Element x y z (fractional)
Li1 0.500 0.500 0.000  0.00
Li2 0.816 0.242 0.632  0.00
Li3 0.184 0.758 0.368  0.00
Pa1 0.868 0.829 0.736  0.68
Pa2 0.132 0.171 0.264  0.68
Rh1 0.500 0.000 0.000  0.20
Se1 0.352 0.083 0.705  -0.01
Se2 0.699 0.546 0.399  -0.02
Se3 0.648 0.917 0.295  -0.01
Se4 0.029 0.278 0.059  0.01
Se5 0.971 0.722 0.941  0.01
Se6 0.301 0.454 0.601  -0.02

Results
Uncorrected energy: -5.622 eV per atom

---

[4]
A plane-wave DFT calculation with PBE-GGA was carried out for an optimized crystal structure of Li4Pa3RhSe8.

Unit cell a=7.779 b=8.065 c=7.782 alpha=118.86 beta=119.99 gamma=90.00
Each line ends with the local moment (μB).
Element x y z (fractional)
Li1 0.500 0.000 0.000  0.00
Li2 0.500 0.000 0.500  0.00
Li3 0.000 0.000 0.000  0.00
Li4 0.000 0.000 0.500  0.00
Pa1 0.500 0.500 0.000  1.09
Pa2 0.500 0.500 0.500  1.09
Pa3 0.000 0.500 0.500  1.09
Rh1 0.000 0.500 0.000  0.25
Se1 0.242 0.752 0.010  -0.01
Se2 0.242 0.752 0.484  -0.01
Se3 0.243 0.228 0.486  -0.02
Se4 0.768 0.752 0.010  -0.01
Se5 0.232 0.248 0.990  -0.01
Se6 0.757 0.772 0.514  -0.02
Se7 0.758 0.248 0.516  -0.01
Se8 0.758 0.248 0.990  -0.01

Results
Uncorrected energy: -5.597 eV per atom

---

[5]
A plane-wave DFT calculation with PBE-GGA was carried out for an optimized crystal structure of Li3Pa3RhSe8.

Unit cell a=7.775 b=7.771 c=8.098 alpha=118.66 beta=90.00 gamma=120.02
Each line ends with the local moment (μB).
Element x y z (fractional)
Li1 0.000 0.000 0.000  0.00
Li2 0.000 0.500 0.000  0.00
Li3 0.500 0.500 0.000  0.00
Pa1 0.500 0.000 0.500  1.08
Pa2 0.500 0.500 0.500  1.07
Pa3 0.000 0.500 0.500  1.07
Rh1 0.000 0.000 0.500  0.11
Se1 0.243 0.486 0.230  -0.02
Se2 0.757 0.514 0.770  -0.02
Se3 0.764 0.527 0.255  -0.02
Se4 0.236 0.473 0.745  -0.02
Se5 0.764 0.991 0.255  -0.02
Se6 0.236 0.009 0.745  -0.02
Se7 0.227 0.991 0.255  -0.02
Se8 0.773 0.009 0.745  -0.02

Results
Uncorrected energy: -5.767 eV per atom

---

[6]
A plane-wave DFT calculation with PBE-GGA was carried out for an optimized crystal structure of LiPa2Si3Rh4.

Unit cell a=4.022 b=4.022 c=10.207 alpha=90.00 beta=90.00 gamma=90.00
Element x y z (fractional)
Li1 0.500 0.500 0.500
Pa1 0.500 0.000 0.253
Pa2 0.000 0.500 0.747
Si1 0.000 0.000 0.500
Si2 0.500 0.000 0.870
Si3 0.000 0.500 0.130
Rh1 0.500 0.500 0.000
Rh2 0.000 0.000 0.000
Rh3 0.500 0.000 0.639
Rh4 0.000 0.500 0.361

Results
Uncorrected energy: -7.535 eV per atom

---

[7]
A plane-wave DFT calculation with PBE-GGA was carried out for an optimized crystal structure of LiPa2Si4Rh3.

Unit cell a=4.122 b=4.122 c=9.822 alpha=90.00 beta=90.00 gamma=90.00
Element x y z (fractional)
Li1 0.500 0.500 0.500
Pa1 0.500 0.000 0.251
Pa2 0.000 0.500 0.749
Si1 0.500 0.500 0.000
Si2 0.000 0.000 0.000
Si3 0.500 0.000 0.633
Si4 0.000 0.500 0.367
Rh1 0.000 0.000 0.500
Rh2 0.500 0.000 0.875
Rh3 0.000 0.500 0.125

Results
Uncorrected energy: -7.265 eV per atom

---

[8]
A plane-wave DFT calculation with PBE-GGA was carried out for an optimized crystal structure of LiPaSi2Rh.

Unit cell a=4.002 b=4.002 c=5.842 alpha=110.03 beta=110.03 gamma=90.00
Element x y z (fractional)
Li1 0.250 0.750 0.500
Pa1 0.000 0.000 0.000
Si1 0.614 0.614 0.229
Si2 0.386 0.386 0.771
Rh1 0.750 0.250 0.500

Results
Uncorrected energy: -6.632 eV per atom

---

[9]
A plane-wave DFT calculation with PBE-GGA was carried out for an optimized crystal structure of LiSmPa2Rh4.

Unit cell a=4.556 b=4.556 c=9.133 alpha=75.56 beta=75.56 gamma=60.00
Element x y z (fractional)
Li1 0.500 0.500 0.500
Sm1 0.000 0.000 0.000
Pa1 0.760 0.760 0.721
Pa2 0.240 0.240 0.279
Rh1 0.398 0.398 0.806
Rh2 0.872 0.872 0.384
Rh3 0.128 0.128 0.616
Rh4 0.602 0.602 0.194

Results
DFT formation energy: -666 meV per atom
Uncorrected energy: -7.545 eV per atom

---

[10]
A plane-wave DFT calculation with PBE-GGA was carried out for an optimized crystal structure of LiSmPaRh.

Unit cell a=4.964 b=4.964 c=4.964 alpha=60.00 beta=60.00 gamma=60.00
Each line ends with the local moment (μB).
Element x y z (fractional)
Pa1 0.750 0.750 0.750  0.46
Rh1 0.500 0.500 0.500  -0.01
Sm1 0.250 0.250 0.250  0.06
Li1 0.000 0.000 0.000  0.01

Results
DFT formation energy: -96 meV per atom
Uncorrected energy: -5.966 eV per atom

---

[11]
A plane-wave DFT calculation with PBE-GGA was carried out for an optimized crystal structure of LiPaTcRh.

Unit cell a=4.544 b=4.544 c=4.544 alpha=60.00 beta=60.00 gamma=60.00
Element x y z (fractional)
Pa1 0.500 0.500 0.500
Rh1 0.250 0.250 0.250
Tc1 0.750 0.750 0.750
Li1 0.000 0.000 0.000

Results
DFT formation energy: -329 meV per atom
Uncorrected energy: -7.611 eV per atom

---

[12]
A plane-wave DFT calculation with PBE-GGA was carried out for an optimized crystal structure of LiPaTlRh.

Unit cell a=4.781 b=4.781 c=4.781 alpha=60.00 beta=60.00 gamma=60.00
Element x y z (fractional)
Tl1 0.250 0.250 0.250
Pa1 0.750 0.750 0.750
Rh1 0.500 0.500 0.500
Li1 0.000 0.000 0.000

Results
DFT formation energy: -224 meV per atom
Uncorrected energy: -5.505 eV per atom